Compound: NaNbP2Cl
Source: Alexandria via LeMat-Bulk
Functional: PBE
Structure: optimized geometry

Structure (POSCAR):
```
NaNbP2Cl
1.0
4.814 0.000 0.000
0.000 4.814 0.000
0.000 0.000 5.202
Cl P Na Nb
1 2 1 1
Direct
0.000 0.000 0.500
0.000 0.500 0.000
0.500 0.000 0.000
0.500 0.500 0.500
0.000 0.000 0.000
```

Output
Fermi-level density of states ... 3.1 states/eV per cell
Raw total energy ... -25.870 eV for the cell shown
Formation energy (no corrections) ... -0.363 eV/atom
Spin magnetization ... 0.02 μB/f.u.